Entry 1:
First-principles (PBE-GGA) data for a relaxed CeTh2TcN4 crystal, as listed in the Alexandria database.

Values from the calculation:
- raw formation energy (eV/atom) = -1.133
- space-group type = No. 63
- DOS(E_F) (states/eV/cell) = 8.79
- total magnetic moment (μB per cell) = 0.2

Lattice parameters (Å, degrees): 3.4319 6.2971 12.0333 90.00 90.00 105.81
With the nearest neighbours (Å) after each atom.
Fractional coordinates of all 16 atoms:
Tc 0.1498 0.2997 0.2500  4 N 2.12-2.17
N 0.0000 0.0000 0.5000  4 Th 2.43
N 0.2787 0.5575 0.1311  1 Tc 2.12
N 0.7213 0.4425 0.6311  1 Tc 2.12
Th 0.6322 0.2645 0.4471  6 N 2.43-2.64
Tc 0.8502 0.7003 0.7500  4 N 2.12-2.17
N 0.2787 0.5575 0.3689  1 Tc 2.12
N 0.4604 0.9208 0.7500  2 Tc 2.17
Th 0.6322 0.2645 0.0529  6 N 2.43-2.64
Th 0.3678 0.7355 0.9471  6 N 2.43-2.64
N 0.5396 0.0792 0.2500  2 Tc 2.17
N 0.7213 0.4425 0.8689  1 Tc 2.12
Th 0.3678 0.7355 0.5529  6 N 2.43-2.64
Ce 0.1113 0.2226 0.7500  6 N 2.51-2.60
Ce 0.8887 0.7774 0.2500  6 N 2.51-2.60
N 0.0000 0.0000 0.0000  4 Th 2.43



Entry 2:
First-principles (PBE-GGA) data for a relaxed Cr2CdBr crystal, as listed in the Alexandria database.

Values from the calculation:
- raw formation energy (eV/atom) = 0.662
- space-group type = No. 47
- DOS(E_F) (states/eV/cell) = 2.98
- total magnetic moment (μB per cell) = 9.2

Lattice parameters (Å, degrees): 3.4081 5.9182 4.5013 90.00 90.00 90.00
With the nearest neighbours (Å) after each atom.
Fractional coordinates of all 4 atoms:
Cr 0.0000 0.0000 0.0000  4 Br 2.82
Br 0.5000 0.0000 0.5000  4 Cr 2.82
Cr 0.5000 0.5000 0.0000  4 Cd 2.82
Cd 0.0000 0.5000 0.5000  4 Cr 2.82



Entry 3:
First-principles (PBE-GGA) data for a relaxed CuRh2 crystal, as listed in the Alexandria database.

Values from the calculation:
- formation enthalpy at 0 K (eV per atom) = 0.22
- space-group type = No. 194
- DOS(E_F) (states/eV/cell) = 11.41
- total magnetic moment (μB per cell) = 1.7

Lattice parameters (Å, degrees): 4.2890 4.2890 5.1919 90.00 90.00 120.00
With the nearest neighbours (Å) after each atom.
Fractional coordinates of all 6 atoms:
Rh 0.0000 0.0000 0.0000  8 Rh 2.60-2.80, 6 Cu 2.80
Cu 0.6667 0.3333 0.7500  5 Rh 2.48-2.60
Rh 0.0000 0.0000 0.5000  8 Rh 2.60-2.80, 6 Cu 2.80
Cu 0.3333 0.6667 0.2500  5 Rh 2.48-2.60
Rh 0.6667 0.3333 0.2500  5 Cu 2.48-2.60
Rh 0.3333 0.6667 0.7500  5 Cu 2.48-2.60



Entry 4:
First-principles (PBE-GGA) data for a relaxed MgTa2Se4 crystal, as listed in the Alexandria database.

Values from the calculation:
- raw formation energy (eV/atom) = -0.587
- space-group type = No. 15
- DOS(E_F) (states/eV/cell) = 9.79
- total magnetic moment (μB per cell) = 0.0

Lattice parameters (Å, degrees): 7.7147 7.7145 7.7212 119.87 119.87 90.10
With the nearest neighbours (Å) after each atom.
Fractional coordinates of all 14 atoms:
Se 0.3830 0.6184 0.7656  1 Mg 2.51, 3 Ta 2.65-2.66
Se 0.8670 0.1316 0.7344  1 Mg 2.51, 3 Ta 2.65-2.66
Se 0.8684 0.1330 0.2656  1 Mg 2.51, 3 Ta 2.65
Ta 0.1250 0.3750 0.7500  6 Se 2.65
Se 0.8528 0.6174 0.2344  1 Mg 2.51, 3 Ta 2.65
Ta 0.6250 0.8750 0.2500  6 Se 2.65-2.66
Ta 0.6250 0.3750 0.2500  6 Se 2.65
Mg 0.2498 0.7501 0.4999  4 Se 2.51
Se 0.3972 0.1326 0.2656  1 Mg 2.51, 3 Ta 2.65
Se 0.3826 0.1472 0.7656  1 Mg 2.51, 3 Ta 2.65
Mg 0.0002 0.9999 0.0001  4 Se 2.51
Ta 0.6250 0.3750 0.7500  6 Se 2.65
Se 0.8674 0.6028 0.7344  1 Mg 2.51, 3 Ta 2.65
Se 0.3816 0.6170 0.2344  1 Mg 2.51, 3 Ta 2.65